CrS2I: optimized geometry, PBE-GGA.

The value obtained for the energy above the lowest structure with this stoichiometry is 1341 meV/atom. As for the formation energy without anion corrections: 1.02 eV per atom.

The space group is Fm-3m (No. 225) and the conventional cell measures 6.512, 6.512 and 6.512 Å, with angles of 90.00, 90.00 and 90.00 degrees. Symmetry generates all atoms from Cr at (0.000, 0.000, 0.000), S at (0.250, 0.250, 0.250) and I at (0.000, 0.000, 0.500).

***

CrSbSI2: optimized geometry, PBE-GGA.

The value obtained for the energy above the lowest structure with this stoichiometry is 696 meV/atom. As for the formation energy without anion corrections: 1.39 eV per atom.

The space group is P4/mmm (No. 123) and the conventional cell measures 5.500, 5.500 and 5.212 Å, with angles of 90.00, 90.00 and 90.00 degrees. Symmetry generates all atoms from Cr at (0.000, 0.000, 0.000), Sb at (0.500, 0.500, 0.000), S at (0.500, 0.500, 0.500) and I at (0.000, 0.500, 0.500).

***

CrSbSI2: optimized geometry, PBE-GGA.

The value obtained for the energy above the lowest structure with this stoichiometry is 0 meV/atom. As for the formation energy without anion corrections: 0.69 eV per atom.

The space group is P4/mmm (No. 123) and the conventional cell measures 5.048, 5.048 and 5.320 Å, with angles of 90.00, 90.00 and 90.00 degrees. Symmetry generates all atoms from Cr at (0.000, 0.000, 0.000), Sb at (0.000, 0.000, 0.500), S at (0.500, 0.500, 0.500) and I at (0.000, 0.500, 0.000).

***

CrTeSI2: optimized geometry, PBE-GGA.

The value obtained for the energy above the lowest structure with this stoichiometry is 0 meV/atom. As for the formation energy without anion corrections: 0.70 eV per atom.

The space group is P4/mmm (No. 123) and the conventional cell measures 5.185, 5.185 and 5.119 Å, with angles of 90.00, 90.00 and 90.00 degrees. Symmetry generates all atoms from Cr at (0.000, 0.000, 0.000), Te at (0.000, 0.000, 0.500), S at (0.500, 0.500, 0.500) and I at (0.000, 0.500, 0.000).

***

CrTeSI2: optimized geometry, PBE-GGA.

The value obtained for the energy above the lowest structure with this stoichiometry is 15 meV/atom. As for the formation energy without anion corrections: 0.71 eV per atom.

The space group is P4/mmm (No. 123) and the conventional cell measures 5.486, 5.486 and 5.409 Å, with angles of 90.00, 90.00 and 90.00 degrees. Symmetry generates all atoms from Cr at (0.000, 0.000, 0.000), Te at (0.500, 0.500, 0.000), S at (0.500, 0.500, 0.500) and I at (0.000, 0.500, 0.500).

***

YCrSI2: optimized geometry, PBE-GGA.

As for the formation energy without anion corrections: -0.36 eV per atom.

The space group is P4/mmm (No. 123) and the conventional cell measures 6.108, 6.108 and 5.088 Å, with angles of 90.00, 90.00 and 90.00 degrees. Symmetry generates all atoms from Y at (0.000, 0.000, 0.000), Cr at (0.500, 0.500, 0.500), S at (0.000, 0.000, 0.500) and I at (0.000, 0.500, 0.000).

***

CrSbI: optimized geometry, PBE-GGA.

As for the formation energy without anion corrections: 0.09 eV per atom.

The space group is Amm2 (No. 38) and the conventional cell measures 13.890, 3.779 and 7.645 Å, with angles of 90.00, 90.00 and 90.00 degrees. Symmetry generates all atoms from Cr at (0.000, 0.000, 0.000), Cr at (0.500, 0.000, 0.128), Sb at (0.397, 0.000, 0.819) and I at (0.138, 0.000, 0.501).

***

CrSb2I: optimized geometry, PBE-GGA.

The value obtained for the energy above the lowest structure with this stoichiometry is 615 meV/atom. As for the formation energy without anion corrections: 1.11 eV per atom.

The space group is Fm-3m (No. 225) and the conventional cell measures 7.240, 7.240 and 7.240 Å, with angles of 90.00, 90.00 and 90.00 degrees. Symmetry generates all atoms from Cr at (0.000, 0.000, 0.000), Sb at (0.250, 0.250, 0.250) and I at (0.000, 0.000, 0.500).

***

CrSb3I: optimized geometry, PBE-GGA.

The value obtained for the energy above the lowest structure with this stoichiometry is 0 meV/atom. As for the formation energy without anion corrections: 0.29 eV per atom.

The space group is Pm-3m (No. 221) and the conventional cell measures 5.098, 5.098 and 5.098 Å, with angles of 90.00, 90.00 and 90.00 degrees. Symmetry generates all atoms from Cr at (0.000, 0.000, 0.000), Sb at (0.000, 0.000, 0.500) and I at (0.500, 0.500, 0.500).

***

CrSb2I: optimized geometry, PBE-GGA.

The value obtained for the energy above the lowest structure with this stoichiometry is 0 meV/atom. As for the formation energy without anion corrections: 0.50 eV per atom.

The space group is I-42d (No. 122) and the conventional cell measures 6.323, 6.323 and 14.639 Å, with angles of 90.00, 90.00 and 90.00 degrees. Symmetry generates all atoms from Cr at (0.000, 0.000, 0.000), Sb at (0.132, 0.250, 0.125) and I at (0.000, 0.000, 0.500).

***

ScCrSbI2: optimized geometry, PBE-GGA.

The value obtained for the energy above the lowest structure with this stoichiometry is 84 meV/atom. As for the formation energy without anion corrections: 0.26 eV per atom.

The space group is P4/mmm (No. 123) and the conventional cell measures 5.345, 5.345 and 5.473 Å, with angles of 90.00, 90.00 and 90.00 degrees. Symmetry generates all atoms from Sc at (0.000, 0.000, 0.000), Cr at (0.500, 0.500, 0.500), Sb at (0.500, 0.500, 0.000) and I at (0.000, 0.500, 0.500).

***

ScCrSbI2: optimized geometry, PBE-GGA.

The value obtained for the energy above the lowest structure with this stoichiometry is 0 meV/atom. As for the formation energy without anion corrections: 0.17 eV per atom.

The space group is P4/mmm (No. 123) and the conventional cell measures 5.595, 5.595 and 5.822 Å, with angles of 90.00, 90.00 and 90.00 degrees. Symmetry generates all atoms from Sc at (0.000, 0.000, 0.000), Cr at (0.500, 0.500, 0.500), Sb at (0.000, 0.000, 0.500) and I at (0.000, 0.500, 0.000).

***

E? In order: -3.835; -2.805; -3.501; -3.300; -3.285; -5.024; -5.007; -3.741; -4.419; -4.356; -4.380; -4.464 eV/atom.
N(E_F)? In order: 0.990; 2.404; 1.204; 1.437; 1.429; 0.369; 0.527; 1.930; 0.927; 1.113; 0.813; 0.979 states/eV per atom.